# 1
Here is a geometry-optimized LiAl3Ag5 structure from Alexandria. Energies are from PBE.

Cell lengths 7.9385, 7.9385, 5.5676 Å; angles 90.00, 90.00, 120.00 degrees
Closest atoms and distances in Å follow each position.
Element x y z (fractional)
Li 0.0000 0.0000 0.0000  2 Li 2.78, 6 Ag 2.89, 6 Al 3.05
Li 0.0000 0.0000 0.5000  2 Li 2.78, 6 Ag 2.89, 6 Al 3.05
Al 0.0000 0.3425 0.2500  5 Ag 2.63-2.79
Al 0.0000 0.6575 0.7500  5 Ag 2.63-2.79
Al 0.3425 0.0000 0.2500  5 Ag 2.63-2.79
Al 0.3425 0.3425 0.7500  5 Ag 2.63-2.79
Al 0.6575 0.0000 0.7500  5 Ag 2.63-2.79
Al 0.6575 0.6575 0.2500  5 Ag 2.63-2.79
Ag 0.0000 0.3195 0.7500  5 Al 2.63-2.79, 2 Li 2.89
Ag 0.0000 0.6805 0.2500  5 Al 2.63-2.79, 2 Li 2.89
Ag 0.3195 0.0000 0.7500  5 Al 2.63-2.79, 2 Li 2.89
Ag 0.3195 0.3195 0.2500  5 Al 2.63-2.79, 2 Li 2.89
Ag 0.3333 0.6667 0.0000  8 Ag 2.78-3.04, 6 Al 2.96
Ag 0.3333 0.6667 0.5000  8 Ag 2.78-3.04, 6 Al 2.96
Ag 0.6667 0.3333 0.0000  8 Ag 2.78-3.04, 6 Al 2.96
Ag 0.6667 0.3333 0.5000  8 Ag 2.78-3.04, 6 Al 2.96
Ag 0.6805 0.0000 0.2500  5 Al 2.63-2.79, 2 Li 2.89
Ag 0.6805 0.6805 0.7500  5 Al 2.63-2.79, 2 Li 2.89

Calculated values
Formation enthalpy at 0 K in meV per atom: -79
Symmetry: P6_3/mcm (193)
Energy in eV per cell: -56.2

# 2
Here is a geometry-optimized NaLa2Sc structure from Alexandria. Energies are from PBE.

Cell lengths 3.5310, 3.5310, 38.2197 Å; angles 90.00, 90.00, 120.00 degrees
Closest atoms and distances in Å follow each position.
Element x y z (fractional)
Na 0.0000 0.0000 0.0000  6 Na 3.53, 2 La 3.63
Na 0.3333 0.6667 0.6667  6 Na 3.53, 2 La 3.63
Na 0.6667 0.3333 0.3333  6 Na 3.53, 2 La 3.63
La 0.0000 0.0000 0.0949  3 Sc 3.42, 6 La 3.53, 1 Na 3.63
La 0.0000 0.0000 0.9051  3 Sc 3.42, 6 La 3.53, 1 Na 3.63
La 0.3333 0.6667 0.5718  3 Sc 3.42, 6 La 3.53, 1 Na 3.63
La 0.3333 0.6667 0.7615  3 Sc 3.42, 6 La 3.53, 1 Na 3.63
La 0.6667 0.3333 0.2385  3 Sc 3.42, 6 La 3.53, 1 Na 3.63
La 0.6667 0.3333 0.4282  3 Sc 3.42, 6 La 3.53, 1 Na 3.63
Sc 0.0000 0.0000 0.5000  6 La 3.42, 6 Sc 3.53
Sc 0.3333 0.6667 0.1667  6 La 3.42, 6 Sc 3.53
Sc 0.6667 0.3333 0.8333  6 La 3.42, 6 Sc 3.53

Calculated values
Formation enthalpy at 0 K in meV per atom: 150
Symmetry: R-3m (166)
Offset from the most stable computed form in meV per atom: 11
Energy in eV per cell: -50.7

# 3
Here is a geometry-optimized CoSi2S structure from Alexandria. Energies are from PBE.

Cell lengths 5.3538, 5.3538, 9.9264 Å; angles 90.00, 90.00, 90.00 degrees
Closest atoms and distances in Å follow each position.
Element x y z (fractional)
Co 0.0000 0.0000 0.0000  4 Si 2.17
Co 0.0000 0.5000 0.2500  4 Si 2.17
Co 0.5000 0.0000 0.7500  4 Si 2.17
Co 0.5000 0.5000 0.5000  4 Si 2.17
Si 0.2181 0.2500 0.1250  2 Co 2.17, 2 S 2.37
Si 0.2500 0.7181 0.3750  2 Co 2.17, 2 S 2.37
Si 0.2500 0.7819 0.8750  2 Co 2.17, 2 S 2.37
Si 0.2819 0.2500 0.6250  2 Co 2.17, 2 S 2.37
Si 0.7181 0.7500 0.6250  2 Co 2.17, 2 S 2.37
Si 0.7500 0.2181 0.8750  2 Co 2.17, 2 S 2.37
Si 0.7500 0.2819 0.3750  2 Co 2.17, 2 S 2.37
Si 0.7819 0.7500 0.1250  2 Co 2.17, 2 S 2.37
S 0.0000 0.0000 0.5000  4 Si 2.37
S 0.0000 0.5000 0.7500  4 Si 2.37
S 0.5000 0.0000 0.2500  4 Si 2.37
S 0.5000 0.5000 0.0000  4 Si 2.37

Calculated values
Symmetry: I-42d (122)
Formation energy without anion corrections in kJ/mol of formula units: 34
Energy in eV per cell: -86.9

# 4
Here is a geometry-optimized Na5Li2Cd4 structure from Alexandria. Energies are from PBE.

Cell lengths 8.4469, 3.2157, 10.3236 Å; angles 90.00, 96.13, 90.00 degrees
Closest atoms and distances in Å follow each position.
Element x y z (fractional)
Na 0.0000 0.0000 0.0000  6 Na 3.22-3.48, 4 Cd 3.26
Na 0.0400 0.0000 0.3388  1 Li 3.20, 4 Na 3.22-3.48, 6 Cd 3.41-3.50
Na 0.3526 0.0000 0.8634  4 Na 3.22-3.56, 1 Li 3.22, 6 Cd 3.34-3.43
Na 0.6474 0.0000 0.1366  4 Na 3.22-3.56, 1 Li 3.22, 6 Cd 3.34-3.43
Na 0.9600 0.0000 0.6612  1 Li 3.20, 4 Na 3.22-3.48, 6 Cd 3.41-3.50
Li 0.4209 0.0000 0.3682  6 Cd 2.87-2.94, 1 Li 2.90, 1 Na 3.20
Li 0.5791 0.0000 0.6318  6 Cd 2.87-2.94, 1 Li 2.90, 1 Na 3.20
Cd 0.2891 0.5000 0.5691  4 Li 2.94, 2 Cd 3.22
Cd 0.3023 0.5000 0.1490  2 Li 2.87
Cd 0.6977 0.5000 0.8510  2 Li 2.87
Cd 0.7109 0.5000 0.4309  4 Li 2.94, 2 Cd 3.22

Calculated values
Formation enthalpy at 0 K in meV per atom: -92
Symmetry: P2/m (10)
Energy in eV per cell: -15.1

# 5
Here is a geometry-optimized Te3AsBr structure from Alexandria. Energies are from PBE.

Cell lengths 5.4512, 5.4512, 5.4512 Å; angles 90.00, 90.00, 90.00 degrees
Closest atoms and distances in Å follow each position.
Element x y z (fractional)
Te 0.0000 0.0000 0.5000  2 As 2.73
Te 0.0000 0.5000 0.0000  2 As 2.73
Te 0.5000 0.0000 0.0000  2 As 2.73
As 0.0000 0.0000 0.0000  6 Te 2.73
Br 0.5000 0.5000 0.5000  12 Te 3.85

Calculated values
Symmetry: Pm-3m (221)
Offset from the most stable computed form in meV per atom: 542
Formation energy without anion corrections in kJ/mol of formula units: 236
Energy in eV per cell: -13.3

# 6
Here is a geometry-optimized PuSe2O8F structure from Alexandria. Energies are from PBE.

Cell lengths 6.3044, 6.3044, 4.7442 Å; angles 92.37, 92.37, 65.30 degrees
Closest atoms and distances in Å follow each position.
Element x y z (fractional)
Pu 0.0000 0.0000 0.0000  2 O 2.00
Se 0.3416 0.3416 0.2984  3 O 1.62-1.64
Se 0.6584 0.6584 0.7016  3 O 1.62-1.64
O 0.1814 0.1814 0.1336  1 Se 1.84, 1 Pu 2.00
O 0.2040 0.6076 0.1823  1 Se 1.64
O 0.3163 0.3163 0.6329  1 Se 1.62
O 0.3924 0.7960 0.8177  1 Se 1.64
O 0.6076 0.2040 0.1823  1 Se 1.64
O 0.6837 0.6837 0.3671  1 Se 1.62
O 0.7960 0.3924 0.8177  1 Se 1.64
O 0.8186 0.8186 0.8664  1 Se 1.84, 1 Pu 2.00
F 0.0000 0.0000 0.5000  2 Pu 2.37

Calculated values
Symmetry: C2/m (12)
Formation energy without anion corrections in kJ/mol of formula units: -1294
Energy in eV per cell: -76.3

# 7
Here is a geometry-optimized CdGeTe2 structure from Alexandria. Energies are from PBE.

Cell lengths 7.4443, 7.4443, 7.4443 Å; angles 90.00, 90.00, 90.00 degrees
Closest atoms and distances in Å follow each position.
Element x y z (fractional)
Cd 0.0000 0.0000 0.0000  8 Te 3.22
Cd 0.0000 0.5000 0.5000  8 Te 3.22
Cd 0.5000 0.0000 0.5000  8 Te 3.22
Cd 0.5000 0.5000 0.0000  8 Te 3.22
Ge 0.0000 0.0000 0.5000  8 Te 3.22
Ge 0.0000 0.5000 0.0000  8 Te 3.22
Ge 0.5000 0.0000 0.0000  8 Te 3.22
Ge 0.5000 0.5000 0.5000  8 Te 3.22
Te 0.2500 0.2500 0.2500  4 Ge 3.22, 4 Cd 3.22
Te 0.2500 0.2500 0.7500  4 Ge 3.22, 4 Cd 3.22
Te 0.2500 0.7500 0.2500  4 Ge 3.22, 4 Cd 3.22
Te 0.2500 0.7500 0.7500  4 Ge 3.22, 4 Cd 3.22
Te 0.7500 0.2500 0.2500  4 Ge 3.22, 4 Cd 3.22
Te 0.7500 0.2500 0.7500  4 Ge 3.22, 4 Cd 3.22
Te 0.7500 0.7500 0.2500  4 Ge 3.22, 4 Cd 3.22
Te 0.7500 0.7500 0.7500  4 Cd 3.22, 4 Ge 3.22

Calculated values
Symmetry: Fm-3m (225)
Offset from the most stable computed form in meV per atom: 312
Formation energy without anion corrections in kJ/mol of formula units: 55
Energy in eV per cell: -45.0

# 8
Here is a geometry-optimized SmYC structure from Alexandria. Energies are from PBE.

Cell lengths 12.7778, 3.6414, 6.3091 Å; angles 90.00, 100.01, 90.00 degrees
Closest atoms and distances in Å follow each position.
Element x y z (fractional)
Sm 0.1112 0.0000 0.3721  3 C 2.52-2.53
Sm 0.3888 0.5000 0.6279  3 C 2.52-2.53
Sm 0.6112 0.5000 0.3721  3 C 2.52-2.53
Sm 0.8888 0.0000 0.6279  3 C 2.52-2.53
Y 0.1064 0.5000 0.8712  3 C 2.49-2.50
Y 0.3936 0.0000 0.1288  3 C 2.49-2.50
Y 0.6064 0.0000 0.8712  3 C 2.49-2.50
Y 0.8936 0.5000 0.1288  3 C 2.49-2.50
C 0.0000 0.0000 0.0000  4 Y 2.49, 2 Sm 2.52
C 0.0000 0.5000 0.5000  2 Y 2.50, 4 Sm 2.53
C 0.5000 0.0000 0.5000  2 Y 2.50, 4 Sm 2.53
C 0.5000 0.5000 0.0000  4 Y 2.49, 2 Sm 2.52

Calculated values
Formation enthalpy at 0 K in meV per atom: -219
Symmetry: C2/m (12)
Offset from the most stable computed form in meV per atom: 1
Energy in eV per cell: -84.3

# 9
Here is a geometry-optimized HfAl2Au8 structure from Alexandria. Energies are from PBE.

Cell lengths 6.9742, 6.9742, 4.4386 Å; angles 97.56, 97.56, 105.28 degrees
Closest atoms and distances in Å follow each position.
Element x y z (fractional)
Hf 0.0000 0.0000 0.0000  12 Au 2.81-3.13
Al 0.3653 0.6347 0.5000  6 Au 2.54-2.79
Al 0.6347 0.3653 0.5000  6 Au 2.54-2.79
Au 0.0426 0.3096 0.5453  2 Al 2.79-2.96, 6 Au 2.83-3.06, 1 Hf 2.95
Au 0.2537 0.7463 0.0000  2 Al 2.54, 1 Hf 2.81
Au 0.3096 0.0426 0.5453  2 Al 2.79-2.96, 6 Au 2.83-3.06, 1 Hf 2.95
Au 0.3393 0.3393 0.0648  2 Al 2.58, 1 Hf 2.82, 2 Au 2.83
Au 0.6607 0.6607 0.9352  2 Al 2.58, 1 Hf 2.82, 2 Au 2.83
Au 0.6904 0.9574 0.4547  2 Al 2.79-2.96, 6 Au 2.83-3.06, 1 Hf 2.95
Au 0.7463 0.2537 0.0000  2 Al 2.54, 1 Hf 2.81
Au 0.9574 0.6904 0.4547  2 Al 2.79-2.96, 6 Au 2.83-3.06, 1 Hf 2.95

Calculated values
Formation enthalpy at 0 K in meV per atom: -282
Symmetry: C2/m (12)
Energy in eV per cell: -46.8

# 10
Here is a geometry-optimized Mg2GaCu2 structure from Alexandria. Energies are from PBE.

Cell lengths 3.3704, 3.3704, 15.7541 Å; angles 90.00, 90.00, 90.00 degrees
Closest atoms and distances in Å follow each position.
Element x y z (fractional)
Mg 0.0000 0.0000 0.1113  4 Cu 2.76, 4 Ga 2.96
Mg 0.0000 0.0000 0.8887  4 Cu 2.76, 4 Ga 2.96
Mg 0.5000 0.5000 0.3887  4 Cu 2.76, 4 Ga 2.96
Mg 0.5000 0.5000 0.6113  4 Cu 2.76, 4 Ga 2.96
Ga 0.0000 0.0000 0.5000  8 Mg 2.96
Ga 0.5000 0.5000 0.0000  8 Mg 2.96
Cu 0.0000 0.5000 0.2500  4 Cu 2.38
Cu 0.0000 0.5000 0.7500  4 Cu 2.38
Cu 0.5000 0.0000 0.2500  4 Cu 2.38
Cu 0.5000 0.0000 0.7500  4 Cu 2.38

Calculated values
Formation enthalpy at 0 K in meV per atom: 12
Symmetry: I4/mmm (139)
Energy in eV per cell: -28.7

# 11
Here is a geometry-optimized NdTm3Ru structure from Alexandria. Energies are from PBE.

Cell lengths 8.5677, 3.7950, 8.5820 Å; angles 90.00, 101.89, 90.00 degrees
Closest atoms and distances in Å follow each position.
Element x y z (fractional)
Nd 0.1710 0.2500 0.0170  4 Nd 3.45-3.80, 8 Tm 3.51-3.76, 1 Ru 3.83
Nd 0.8290 0.7500 0.9830  4 Nd 3.45-3.80, 8 Tm 3.51-3.76, 1 Ru 3.83
Tm 0.0288 0.7500 0.6630  3 Ru 2.87-2.97
Tm 0.3384 0.7500 0.3922  2 Ru 2.77
Tm 0.4196 0.7500 0.8151  2 Ru 2.82
Tm 0.5804 0.2500 0.1849  2 Ru 2.82
Tm 0.6616 0.2500 0.6078  2 Ru 2.77
Tm 0.9712 0.2500 0.3370  3 Ru 2.87-2.97
Ru 0.2588 0.2500 0.5974  7 Tm 2.77-2.97
Ru 0.7412 0.7500 0.4026  7 Tm 2.77-2.97

Calculated values
Formation enthalpy at 0 K in meV per atom: -272
Symmetry: P2_1/m (11)
Offset from the most stable computed form in meV per atom: 0
Energy in eV per cell: -57.6

# 12
Here is a geometry-optimized CdBi2Sb2 structure from Alexandria. Energies are from PBE.

Cell lengths 6.2067, 6.2067, 8.7276 Å; angles 90.00, 90.00, 90.00 degrees
Closest atoms and distances in Å follow each position.
Element x y z (fractional)
Cd 0.0000 0.0000 0.0000  2 Sb 2.83
Cd 0.5000 0.5000 0.5000  2 Sb 2.83
Bi 0.0000 0.5000 0.2500  4 Sb 3.17
Bi 0.0000 0.5000 0.7500  4 Sb 3.17
Bi 0.5000 0.0000 0.2500  4 Sb 3.17
Bi 0.5000 0.0000 0.7500  4 Sb 3.17
Sb 0.0000 0.0000 0.3244  1 Cd 2.83, 1 Sb 3.07, 4 Bi 3.17
Sb 0.0000 0.0000 0.6756  1 Cd 2.83, 1 Sb 3.07, 4 Bi 3.17
Sb 0.5000 0.5000 0.1756  1 Cd 2.83, 1 Sb 3.07, 4 Bi 3.17
Sb 0.5000 0.5000 0.8244  1 Cd 2.83, 1 Sb 3.07, 4 Bi 3.17

Calculated values
Symmetry: I4/mmm (139)
Offset from the most stable computed form in meV per atom: 81
Formation energy without anion corrections in kJ/mol of formula units: 79
Energy in eV per cell: -32.2

> energy of number 3 (CoSi2S)?

-86.9 eV per cell